# 1
{
  "formula": "LaZn3In",
  "functional": "meta-GGA SCAN",
  "state": "PBEsol geometry",
  "cell": [[-4.470, -0.049, 3.324], [-3.133, -1.802, -4.239], [1.113, -5.271, 1.419]],
  "species": ["Zn", "Zn", "Zn", "In", "La"],
  "frac_coords": [[0.000, 0.500, 0.000], [0.500, 0.000, 0.000], [0.000, 0.000, 0.500], [0.500, 0.500, 0.500], [0.000, 0.000, 0.000]],
  "delta_e_f_ev_per_fu": 4.6,
  "magmom_total_mub_per_cell": 1.76,
  "sg": "Pm-3m (221)"
}


# 2
{
  "formula": "BeZn2CrIn",
  "functional": "meta-GGA SCAN",
  "state": "PBEsol geometry",
  "cell": [[4.471, 0.000, 0.000], [0.000, 4.951, 0.000], [0.000, 0.000, 4.951]],
  "species": ["Zn", "Zn", "In", "Cr", "Be"],
  "frac_coords": [[0.000, 0.500, 0.000], [0.000, 0.000, 0.500], [0.000, 0.000, 0.000], [0.500, 0.500, 0.500], [0.500, 0.000, 0.000]],
  "delta_e_f_ev_per_fu": 5.0,
  "magmom_total_mub_per_cell": 4.92,
  "sg": "P4/mmm (123)"
}